DFT (PBE-GGA) results for an optimized crystal structure of ReIrS3.

Output
raw formation energy: 110.85 kJ/mol of atoms
SG: Pm-3m
calculated total energy: -5.5894 eV/atom
DOS(E_F): 5.84 states/eV/cell
total magnetic moment: 0.24 μB per atom
ΔE to the lowest computed polymorph: 0 meV per atom

Unit cell a=4.557 b=4.557 c=4.557 alpha=90.00 beta=90.00 gamma=90.00
Site moments in Bohr magnetons follow the coordinates.
Element x y z (fractional)
Re 0.000 0.000 0.000  -0.15
S 0.500 0.000 0.000  0.06
S 0.000 0.000 0.500  0.08
S 0.000 0.500 0.000  0.09
Ir 0.500 0.500 0.500  1.01